Density functional theory data (GGA-PBE) for HfPHCl2 after structural relaxation.

Total moment = 0.000 μB per formula unit
Excess energy over the best structure of this formula in the dataset = 9.11 kcal/mol of atoms

Lattice parameters (Å, degrees): 4.7003 4.7003 3.4007 90.00 90.00 90.00
Last column: nearest neighbours and their distance in Å.
Space group P4/mmm (No. 123)
Unique sites:
1 Hf 0.0000 0.0000 0.0000 (multiplicity 1)  8 Cl 2.90
2 P 0.5000 0.5000 0.0000 (multiplicity 1)  2 H 1.70
3 H 0.5000 0.5000 0.5000 (multiplicity 1)  2 P 1.70
4 Cl 0.0000 0.5000 0.5000 (multiplicity 2)  2 H 2.35